Record 1
A plane-wave DFT calculation with GGA-PBE was carried out for a relaxed ZrSb2Ru2 crystal.

The structure in POSCAR format:
```
ZrSb2Ru2
1.0
4.305 0.000 0.000
0.000 4.305 0.000
2.153 2.153 5.474
Zr Sb Ru
1 2 2
Cartesian
0.000 0.000 0.000
2.153 2.153 1.373
4.305 4.305 4.101
2.153 4.305 2.737
4.305 2.153 2.737
```

## Properties
The symmetry is I4/mmm, No. 139. The value obtained for the formation energy without anion corrections is -0.056 eV per atom.


Record 2
A plane-wave DFT calculation with GGA-PBE was carried out for a relaxed Tb5Pd4Ru crystal.

The structure in POSCAR format:
```
Tb5Pd4Ru
1.0
-2.101 2.467 1.234
-1.298 -2.253 2.294
12.525 4.772 11.778
Tb Pd Ru
5 4 1
Cartesian
4.563 2.493 7.653
7.101 3.460 10.040
-0.524 0.555 2.870
2.025 1.526 5.266
9.650 4.431 12.436
5.000 1.905 4.701
7.525 2.867 7.076
10.030 3.822 9.432
2.495 0.950 2.346
0.000 0.000 0.000
```

## Properties
The symmetry is P4/mmm, No. 123. The energy of formation comes out at -783 meV per atom.


Record 3
A plane-wave DFT calculation with GGA-PBE was carried out for a relaxed TaRe2Ag crystal.

The structure in POSCAR format:
```
TaRe2Ag
1.0
5.002 0.000 0.000
1.876 4.637 0.000
-3.439 -2.319 2.796
Ag Ta Re
1 1 2
Cartesian
2.501 0.000 1.398
0.938 2.319 1.398
0.000 0.000 0.000
3.439 2.319 0.000
```

## Properties
The symmetry is I4/mmm, No. 139. The energy of formation comes out at 441 meV per atom.


Record 4
A plane-wave DFT calculation with GGA-PBE was carried out for a relaxed CsSnI2N crystal.

The structure in POSCAR format:
```
CsSnI2N
1.0
-5.774 2.888 -2.883
-2.607 -6.453 -1.243
-2.436 0.037 4.917
I N Cs Sn
2 1 1 1
Cartesian
-2.887 1.444 -1.441
-1.304 -3.227 -0.622
-1.218 0.019 2.458
0.000 0.000 0.000
-5.409 -1.764 0.395
```

## Properties
The symmetry is P4/mmm, No. 123. The value obtained for the formation energy without anion corrections is 0.915 eV per atom.


Record 5
A plane-wave DFT calculation with GGA-PBE was carried out for a relaxed Ho2PdRu crystal.

The structure in POSCAR format:
```
Ho2PdRu
1.0
-0.204 -2.808 1.968
2.878 0.931 1.627
-3.737 3.499 4.605
Pd Ho Ru
1 2 1
Cartesian
-0.531 0.811 4.100
-0.898 0.840 1.106
-2.839 2.658 3.499
1.337 -0.938 1.798
```

## Properties
The symmetry is P4/mmm, No. 123. The energy of formation comes out at -708 meV per atom.


Record 6
A plane-wave DFT calculation with GGA-PBE was carried out for a relaxed OsPt2Br crystal.

The structure in POSCAR format:
```
OsPt2Br
1.0
5.854 -0.028 0.008
3.220 4.889 -0.008
-3.888 -3.642 2.427
Br Pt Os
1 2 1
Cartesian
4.128 2.211 0.000
3.474 -0.501 1.217
0.251 0.134 0.000
1.870 1.804 1.209
```

## Properties
The symmetry is Imm2, No. 44. The value obtained for the formation energy without anion corrections is 0.770 eV per atom.


Record 7
A plane-wave DFT calculation with GGA-PBE was carried out for a relaxed Tl2FeMo crystal.

The structure in POSCAR format:
```
Tl2FeMo
1.0
9.416 0.070 0.041
8.888 3.109 0.041
8.888 1.544 2.699
Mo Tl Fe
1 2 1
Cartesian
20.394 3.542 2.086
13.677 2.376 1.399
27.110 4.709 2.773
6.798 1.181 0.695
```

## Properties
The symmetry is R-3m, No. 166. The energy of formation comes out at 792 meV per atom.


Record 8
A plane-wave DFT calculation with GGA-PBE was carried out for a relaxed SBrO2 crystal.

The structure in POSCAR format:
```
SBrO2
1.0
5.766 0.000 0.000
0.000 5.766 0.000
2.883 2.883 4.087
O S Br
4 2 2
Cartesian
2.883 1.441 1.022
4.324 5.766 3.065
2.883 4.324 1.022
7.207 5.765 3.065
2.883 2.883 0.000
2.883 5.766 2.043
0.000 0.000 0.000
5.766 2.883 2.043
```

## Properties
The symmetry is I4_1/amd, No. 141. The value obtained for the formation energy without anion corrections is 0.228 eV per atom.


Record 9
A plane-wave DFT calculation with GGA-PBE was carried out for a relaxed RhF crystal.

The structure in POSCAR format:
```
RhF
1.0
-7.095 -5.174 -0.996
1.686 -1.660 -3.386
2.275 -3.685 2.939
F Rh
6 6
Cartesian
-1.728 -5.377 1.035
-0.555 -3.231 -1.173
-2.939 -7.686 -0.254
1.026 -4.794 0.303
-3.685 -5.513 -1.613
1.872 -2.119 -2.328
-2.641 -3.858 -0.352
3.109 -4.162 -0.523
-0.036 -4.141 1.938
0.504 -3.879 -2.813
-3.542 -6.698 1.446
-3.085 -6.497 -3.317
```

## Properties
The symmetry is Pmn2_1, No. 31. The value obtained for the formation energy without anion corrections is -0.346 eV per atom.


Record 10
A plane-wave DFT calculation with GGA-PBE was carried out for a relaxed Pm2Sm6Y3Tm crystal.

The structure in POSCAR format:
```
Pm2Sm6Y3Tm
1.0
-1.395 -5.967 1.227
4.439 2.912 3.298
-9.086 4.505 6.282
Y Sm Pm Tm
3 6 2 1
Cartesian
-4.968 -2.237 4.713
-3.021 0.725 5.404
-1.075 3.687 6.095
0.006 -1.165 4.977
-6.049 2.615 5.830
-5.494 -0.391 7.759
-2.487 -1.108 2.361
-3.556 2.558 8.447
-0.549 1.841 3.049
0.549 -3.007 1.918
2.494 -0.048 2.608
0.000 0.000 0.000
```

## Properties
The symmetry is C2/m, No. 12. The energy of formation comes out at 14 meV per atom.


Record 11
A plane-wave DFT calculation with GGA-PBE was carried out for a relaxed Sc2InS crystal.

The structure in POSCAR format:
```
Sc2InS
1.0
7.348 0.000 0.000
0.000 7.348 0.000
3.674 3.674 3.326
Sc In S
4 2 2
Cartesian
5.511 5.870 2.494
2.197 5.511 0.831
5.151 1.837 0.831
9.185 8.825 2.494
0.000 0.000 0.000
7.348 3.674 1.663
3.674 3.674 0.000
3.674 7.348 1.663
```

## Properties
The symmetry is I-42d, No. 122. The value obtained for the formation energy without anion corrections is -0.754 eV per atom.


Record 12
A plane-wave DFT calculation with GGA-PBE was carried out for a relaxed Ba2AlAs crystal.

The structure in POSCAR format:
```
Ba2AlAs
1.0
-2.139 -1.632 -2.768
-1.236 -2.652 2.518
-7.389 5.682 2.360
Ba Al As
2 1 1
Cartesian
-6.736 5.180 2.152
-4.144 -0.252 0.660
-4.257 3.274 1.360
-6.710 1.721 1.479
```

## Properties
The symmetry is P4mm, No. 99. The energy of formation comes out at -273 meV per atom.


Record 13
A plane-wave DFT calculation with GGA-PBE was carried out for a relaxed K2NiAs crystal.

The structure in POSCAR format:
```
K2NiAs
1.0
3.124 0.000 0.000
0.000 3.124 0.000
0.000 0.000 10.081
K As Ni
2 1 1
Cartesian
0.000 0.000 5.036
0.000 0.000 0.005
1.562 1.562 7.561
1.562 1.562 2.520
```

## Properties
The symmetry is P4/mmm, No. 123. The energy of formation comes out at 446 meV per atom.


Record 14
A plane-wave DFT calculation with GGA-PBE was carried out for a relaxed TaMo3 crystal.

The structure in POSCAR format:
```
TaMo3
1.0
-3.179 1.210 3.365
3.238 -1.743 3.685
2.230 4.883 0.350
Mo Ta
6 2
Cartesian
2.400 0.840 1.965
2.742 3.741 1.245
-0.141 3.777 1.910
1.177 -0.018 4.520
4.320 2.892 3.041
-0.483 0.876 2.630
0.802 1.756 0.126
1.457 2.860 3.749
```

## Properties
The symmetry is Pmmn, No. 59. The energy of formation comes out at 253 meV per atom.


Record 15
A plane-wave DFT calculation with GGA-PBE was carried out for a relaxed U4Si6Ir7 crystal.

The structure in POSCAR format:
```
U4Si6Ir7
1.0
6.786 0.000 -2.399
-3.393 5.877 -2.399
0.000 0.000 7.197
Si Ir U
6 7 4
Cartesian
4.627 0.000 3.272
-2.314 4.008 3.272
2.314 4.008 -3.272
2.158 0.000 1.526
1.079 1.869 -1.526
-1.079 1.869 1.526
0.000 2.938 3.599
4.241 1.469 1.200
3.393 2.938 -1.200
-0.848 4.407 1.200
0.000 0.000 0.000
0.848 4.407 -1.200
2.545 1.469 3.599
1.696 2.938 1.200
3.393 0.000 -1.200
0.000 0.000 3.599
-1.696 2.938 -1.200
```

## Properties
The symmetry is Im-3m, No. 229. The value obtained for the formation energy without anion corrections is -0.689 eV per atom.


Record 16
A plane-wave DFT calculation with GGA-PBE was carried out for a relaxed Ce4ScBi2 crystal.

The structure in POSCAR format:
```
Ce4ScBi2
1.0
-2.518 2.831 2.646
-3.403 2.082 -5.464
-4.450 -4.978 1.091
Bi Ce Sc
2 4 1
Cartesian
-3.695 0.115 -3.638
-4.158 -3.011 -0.735
-3.484 -1.074 1.869
-2.960 2.456 -1.409
-1.727 -0.637 -0.962
-6.126 -2.259 -3.411
-5.185 -0.033 -0.863
```

## Properties
The symmetry is Cmmm, No. 65. The energy of formation comes out at -311 meV per atom.


Record 17
A plane-wave DFT calculation with GGA-PBE was carried out for a relaxed Tm4TeCS2 crystal.

The structure in POSCAR format:
```
Tm4TeCS2
1.0
3.839 0.000 0.000
0.000 6.658 -0.050
0.000 2.434 6.643
S Tm Te C
2 4 1 1
Cartesian
1.920 1.217 3.322
0.000 2.434 6.643
1.920 3.544 4.700
0.000 6.635 4.591
1.920 5.548 1.893
3.839 2.458 2.002
1.920 3.329 -0.025
0.000 4.546 3.297
```

## Properties
The symmetry is P2/m, No. 10. The value obtained for the formation energy without anion corrections is -1.360 eV per atom.


Record 18
A plane-wave DFT calculation with GGA-PBE was carried out for a relaxed Lu2MgNp crystal.

The structure in POSCAR format:
```
Lu2MgNp
1.0
-2.399 0.091 2.281
1.407 -2.546 1.581
5.201 6.120 5.226
Mg Np Lu
1 1 2
Cartesian
2.105 1.832 4.544
-0.496 -1.228 1.931
3.894 4.582 3.913
1.307 1.538 1.313
```

## Properties
The symmetry is P4/mmm, No. 123. The energy of formation comes out at 227 meV per atom.


Record 19
A plane-wave DFT calculation with GGA-PBE was carried out for a relaxed CaLa5Pr8 crystal.

The structure in POSCAR format:
```
CaLa5Pr8
1.0
-3.757 5.570 5.704
-6.093 -4.905 -4.061
5.516 -5.071 4.640
La Pr Ca
5 8 1
Cartesian
-7.699 -0.505 2.124
-3.289 -2.404 5.218
3.625 -3.826 5.693
0.879 0.250 5.172
-1.306 -2.076 -0.468
0.151 -2.912 6.532
-0.467 -1.570 2.894
-4.128 -1.392 1.853
-2.477 1.144 4.616
-0.376 1.316 7.929
-2.215 -5.651 -0.434
-4.723 -3.078 -1.643
-3.103 -5.478 3.387
0.151 -4.863 2.876
```

## Properties
The symmetry is I-4, No. 82. The energy of formation comes out at 200 meV per atom.


Record 20
A plane-wave DFT calculation with GGA-PBE was carried out for a relaxed ScCoTe2N crystal.

The structure in POSCAR format:
```
ScCoTe2N
1.0
5.679 0.000 0.000
0.000 5.679 0.000
0.000 0.000 3.851
N Te Co Sc
1 2 1 1
Cartesian
0.000 0.000 1.925
2.840 0.000 0.000
0.000 2.840 0.000
2.840 2.840 1.925
0.000 0.000 0.000
```

## Properties
The symmetry is P4/mmm, No. 123. The value obtained for the formation energy without anion corrections is 0.625 eV per atom.


no.,density of states at the Fermi level (states/eV per atom),total magnetization (μB/cell),ρ (Mg/m³)
1,0.59,0.0,8.8
2,0.53,0.0,10.2
3,1.12,0.0,16.9
4,0.72,3.4,3.1
5,0.42,0.0,11.0
6,1.01,0.0,15.8
7,0.98,2.4,12.2
8,0.96,1.7,3.5
9,1.14,3.1,6.4
10,1.29,0.0,6.8
11,1.21,0.0,4.4
12,0.56,0.0,4.4
13,1.26,0.3,3.6
14,0.75,0.0,11.6
15,1.36,8.6,14.3
16,3.48,5.6,8.0
17,0.31,0.0,8.6
18,2.65,4.1,9.7
19,1.54,0.0,5.9
20,1.05,2.3,5.0